(1)
GGA-PBE Tc2MoP, relaxed; crystal system = orthorhombic; formation enthalpy at 0 K = -0.260 eV per atom
1.0
-3.457 -0.516 -3.734
-1.181 -4.731 -1.542
0.104 3.345 3.868
P Tc Mo
1 2 1
Direct
0.250 0.750 0.500
0.467 0.467 0.000
0.033 0.033 0.000
0.750 0.250 0.500


(2)
GGA-PBE YScMo2, relaxed; crystal system = tetragonal; formation enthalpy at 0 K = 0.458 eV per atom
1.0
-3.869 2.343 -3.270
-0.689 -2.082 -5.133
0.310 -1.972 5.213
Mo Sc Y
2 1 1
Direct
0.500 0.500 0.000
0.000 0.000 0.000
0.250 0.750 0.500
0.750 0.250 0.500


(3)
GGA-PBE NaDyY2Se4, relaxed; formation energy from raw total energies = -1740 meV/atom; crystal system = monoclinic
1.0
4.077 0.000 0.000
0.000 7.126 -0.166
0.000 2.476 6.682
Se Na Y Dy
4 1 2 1
Direct
0.500 0.251 0.749
0.000 0.753 0.746
0.000 0.247 0.254
0.500 0.749 0.251
0.500 0.500 0.000
0.000 0.000 0.000
0.500 0.000 0.500
0.000 0.500 0.500


(4)
GGA-PBE BaScN2, relaxed; formation energy from raw total energies = -731 meV/atom; crystal system = tetragonal
1.0
6.089 0.000 0.000
0.000 6.089 0.000
3.044 3.044 4.180
N Ba Sc
4 2 2
Direct
0.539 0.125 0.250
0.211 0.625 0.250
0.875 0.789 0.750
0.375 0.461 0.750
0.000 0.000 0.000
0.750 0.250 0.500
0.250 0.750 0.500
0.500 0.500 0.000


(5)
GGA-PBE Dy3Tl2Cd, relaxed; crystal system = tetragonal; formation enthalpy at 0 K = -0.338 eV per atom
1.0
-1.096 3.270 1.455
-3.574 -1.082 -0.260
0.596 -4.518 10.603
Dy Tl Cd
3 2 1
Direct
0.000 0.000 0.000
0.000 0.000 0.659
0.000 0.000 0.341
0.500 0.500 0.173
0.500 0.500 0.827
0.500 0.500 0.500


(6)
GGA-PBE CeIn3Cl6, relaxed; formation energy from raw total energies = -1379 meV/atom; crystal system = monoclinic
1.0
-7.268 1.868 0.082
-0.199 -1.137 8.298
2.086 10.657 1.510
In Cl Ce
6 12 2
Direct
0.022 0.568 0.274
0.000 0.000 0.500
0.500 0.500 0.000
0.522 0.932 0.774
0.978 0.432 0.726
0.478 0.068 0.226
0.185 0.338 0.463
0.861 0.928 0.234
0.815 0.662 0.537
0.334 0.769 0.414
0.834 0.731 0.914
0.166 0.269 0.086
0.139 0.072 0.766
0.361 0.572 0.734
0.666 0.231 0.586
0.685 0.162 0.963
0.639 0.428 0.266
0.315 0.838 0.037
0.000 0.000 0.000
0.500 0.500 0.500


(7)
GGA-PBE Sc2PCl, relaxed; formation energy from raw total energies = -1420 meV/atom; crystal system = trigonal
1.0
3.718 0.000 0.000
1.859 3.220 0.000
1.859 1.073 6.637
Sc Cl P
2 1 1
Direct
0.266 0.266 0.201
0.068 0.068 0.795
0.497 0.497 0.510
0.669 0.669 0.994


(8)
GGA-PBE K2RbNaTl, relaxed; crystal system = tetragonal; formation enthalpy at 0 K = 0.135 eV per atom
1.0
6.885 0.000 0.000
0.000 6.885 0.000
0.000 0.000 7.057
K Na Rb Tl
2 1 1 1
Direct
0.000 0.500 0.000
0.500 0.000 0.000
0.500 0.500 0.500
0.000 0.000 0.500
0.000 0.000 0.000


(9)
GGA-PBE Ta3NbBi, relaxed; crystal system = cubic; formation enthalpy at 0 K = 1.440 eV per atom
1.0
4.947 0.000 0.000
0.000 4.947 0.000
0.000 0.000 4.947
Ta Bi Nb
3 1 1
Direct
0.000 0.000 0.500
0.000 0.500 0.000
0.500 0.000 0.000
0.500 0.500 0.500
0.000 0.000 0.000


(10)
GGA-PBE KNaMgCd, relaxed; crystal system = cubic; formation enthalpy at 0 K = 0.071 eV per atom
1.0
-3.930 0.097 4.056
1.547 0.007 5.433
-0.711 4.646 3.133
K Cd Mg Na
1 1 1 1
Direct
0.250 0.250 0.250
0.500 0.500 0.500
0.750 0.750 0.750
0.000 0.000 0.000


(11)
GGA-PBE Re2Au, relaxed; crystal system = tetragonal; formation enthalpy at 0 K = 0.322 eV per atom
1.0
-3.768 -2.550 4.266
0.085 -3.465 5.186
1.974 4.695 -3.600
Au Re
1 2
Direct
0.000 0.000 0.000
0.681 0.681 0.000
0.319 0.319 0.000


(12)
GGA-PBE CaAsP2, relaxed; crystal system = orthorhombic; formation enthalpy at 0 K = -0.149 eV per atom
1.0
-3.967 -0.976 1.945
-0.977 -0.608 -4.376
1.030 -3.660 0.274
Ca P As
1 2 1
Direct
0.000 0.500 0.500
0.500 0.500 0.000
0.000 0.000 0.000
0.500 0.000 0.500


E for every record listed, in sequence, given in eV per atom: -9.504; -8.156; -5.838; -6.957; -3.580; -3.902; -6.400; -1.235; -8.461; -1.160; -9.070; -4.516.